Here is an optimized crystal structure of Mn2CoTc from Alexandria via LeMat-Bulk. Energies are from PBEsol.

```
Mn2CoTc
1.0
-1.783 1.783 3.550
1.783 -1.783 3.550
1.783 1.783 -3.550
Mn Co Tc
2 1 1
direct
0.000 0.000 0.000
0.750 0.250 0.500
0.250 0.750 0.500
0.500 0.500 0.000
```

Calculated values
Calculated formation energy   0.035 eV/atom
Calculated volume   11.3 Å³ per atom

Here is an optimized crystal structure of MnCo6Tc from Alexandria via LeMat-Bulk. Energies are from PBEsol.

```
MnCo6Tc
1.0
3.476 -4.925 0.000
3.476 4.925 0.000
0.000 0.000 9.849
Mn Co Tc
4 24 4
direct
0.000 0.000 0.246
0.000 0.000 0.754
0.253 0.747 0.000
0.747 0.253 0.000
0.000 0.000 0.000
0.000 0.000 0.500
0.124 0.374 0.124
0.124 0.374 0.375
0.124 0.374 0.625
0.124 0.374 0.876
0.250 0.750 0.249
0.250 0.750 0.751
0.374 0.124 0.124
0.374 0.124 0.375
0.374 0.124 0.625
0.374 0.124 0.876
0.500 0.500 0.000
0.500 0.500 0.500
0.626 0.876 0.124
0.626 0.876 0.375
0.626 0.876 0.625
0.626 0.876 0.876
0.750 0.250 0.249
0.750 0.250 0.751
0.876 0.626 0.124
0.876 0.626 0.375
0.876 0.626 0.625
0.876 0.626 0.876
0.251 0.749 0.500
0.500 0.500 0.246
0.500 0.500 0.754
0.749 0.251 0.500
```

Calculated values
Calculated formation energy   0.048 eV/atom
Calculated volume   10.5 Å³ per atom

Here is an optimized crystal structure of Mn2CoTc from Alexandria via LeMat-Bulk. Energies are from PBEsol.

```
Mn2CoTc
1.0
2.501 0.000 0.000
0.000 4.033 0.000
-0.623 0.000 4.626
Mn Co Tc
2 1 1
direct
0.235 0.000 0.259
0.765 0.000 0.741
0.000 0.500 0.500
0.500 0.500 0.000
```

Calculated values
Calculated formation energy   0.188 eV/atom
Calculated volume   11.7 Å³ per atom

Here is an optimized crystal structure of MnCoTc3 from Alexandria via LeMat-Bulk. Energies are from PBEsol.

```
MnCoTc3
1.0
4.314 0.000 0.000
0.000 4.314 0.000
0.000 0.000 4.314
Mn Co Tc
1 1 3
direct
0.000 0.000 0.000
0.500 0.500 0.500
0.000 0.500 0.500
0.500 0.000 0.500
0.500 0.500 0.000
```

Calculated values
Calculated formation energy   1.453 eV/atom
Calculated volume   16.1 Å³ per atom